Record 1
Entry from Alexandria via LeMat-Bulk: TaAs4Au after structural relaxation (PBE).

## Properties
ΔH_f (0 K), eV/f.u.: 3.79

a b c (Å): 7.670 7.670 7.670
angles (deg): 90.00 90.00 90.00
Space group F-43m (No. 216)
Inequivalent atoms, fractional coordinates:
Ta: 0.000 0.000 0.000 [4 per cell]
As: 0.125 0.125 0.625 [16 per cell]
Au: 0.250 0.250 0.250 [4 per cell]

=====

Record 2
Entry from Alexandria via LeMat-Bulk: BaPtPb after structural relaxation (PBE).

## Properties
ΔH_f (0 K), eV/f.u.: -1.24

a b c (Å): 3.794 3.794 12.123
angles (deg): 90.00 90.00 90.00
Space group I4mm (No. 107)
Inequivalent atoms, fractional coordinates:
Ba: 0.000 0.000 0.000 [2 per cell]
Pt: 0.000 0.000 0.686 [2 per cell]
Pb: 0.000 0.000 0.281 [2 per cell]

=====

Record 3
Entry from Alexandria via LeMat-Bulk: Li3Bi5S12 after structural relaxation (PBE).

## Properties
ΔE_f (raw), meV per atom: -185

a b c (Å): 16.192 16.192 16.192
angles (deg): 90.00 90.00 90.00
Space group Ia-3d (No. 230)
Inequivalent atoms, fractional coordinates:
Li: 0.000 0.250 0.125 [24 per cell]
Bi: 0.000 0.000 0.000 [16 per cell]
Bi: 0.000 0.250 0.375 [24 per cell]
S: 0.019 0.069 0.655 [96 per cell]

=====

Record 4
Entry from Alexandria via LeMat-Bulk: ZrV3As after structural relaxation (PBE).

## Properties
ΔH_f (0 K), eV/f.u.: 8.29
Energy above the lowest structure with this stoichiometry, eV/atom: 1.217

a b c (Å): 4.650 4.650 4.650
angles (deg): 90.00 90.00 90.00
Space group Pm-3m (No. 221)
Inequivalent atoms, fractional coordinates:
Zr: 0.000 0.000 0.000 [1 per cell]
V: 0.000 0.000 0.500 [3 per cell]
As: 0.500 0.500 0.500 [1 per cell]

=====

Record 5
Entry from Alexandria via LeMat-Bulk: K2Pm2BiO6 after structural relaxation (PBE).

## Properties
ΔE_f (raw), meV per atom: -2189

a b c (Å): 6.186 10.693 6.707
angles (deg): 90.00 106.62 90.00
Space group C2/m (No. 12)
Inequivalent atoms, fractional coordinates:
K: 0.000 0.163 0.000 [4 per cell]
Pm: 0.000 0.335 0.500 [4 per cell]
Bi: 0.000 0.000 0.500 [2 per cell]
O: 0.215 0.167 0.680 [8 per cell]
O: 0.241 0.500 0.683 [4 per cell]

=====

Record 6
Entry from Alexandria via LeMat-Bulk: Nd2Sm3Dy6In after structural relaxation (PBE).

## Properties
ΔH_f (0 K), eV/f.u.: -0.67

a b c (Å): 6.138 10.639 11.785
angles (deg): 90.00 100.04 90.00
Space group C2/m (No. 12)
Inequivalent atoms, fractional coordinates:
Nd: 0.000 0.166 0.000 [4 per cell]
Sm: 0.000 0.000 0.500 [2 per cell]
Sm: 0.000 0.333 0.500 [4 per cell]
Dy: 0.245 0.337 0.247 [8 per cell]
Dy: 0.245 0.500 0.752 [4 per cell]
In: 0.000 0.500 0.000 [2 per cell]

=====

Record 7
Entry from Alexandria via LeMat-Bulk: ZrAsO4F after structural relaxation (PBE).

## Properties
ΔE_f (raw), meV per atom: -2328

a b c (Å): 8.965 6.803 6.534
angles (deg): 90.00 107.56 90.00
Space group C2/m (No. 12)
Inequivalent atoms, fractional coordinates:
Zr: 0.216 0.000 0.117 [4 per cell]
As: 0.150 0.500 0.293 [4 per cell]
O: 0.043 0.500 0.736 [4 per cell]
O: 0.198 0.315 0.140 [8 per cell]
O: 0.231 0.000 0.453 [4 per cell]
F: 0.023 0.000 0.833 [4 per cell]

=====

Record 8
Entry from Alexandria via LeMat-Bulk: TaCu2Pb2O6 after structural relaxation (PBE).

## Properties
ΔE_f (raw), meV per atom: -1361

a b c (Å): 5.9948 5.9948 15.4007
angles (deg): 90.00 90.00 120.00
Space group R-3m (No. 166, hexagonal axes)
Inequivalent atoms, fractional coordinates:
Ta: 0.0000 0.0000 0.0000 [3 per cell]
Cu: 0.0000 0.0000 0.4145 [6 per cell]
Pb: 0.0000 0.0000 0.2089 [6 per cell]
O: 0.0338 0.5169 0.7491 [18 per cell]

=====

Record 9
Entry from Alexandria via LeMat-Bulk: ReAu3C after structural relaxation (PBE).

## Properties
ΔH_f (0 K), eV/f.u.: 13.12
Energy above the lowest structure with this stoichiometry, eV/atom: 1.178

a b c (Å): 5.035 5.035 5.035
angles (deg): 90.00 90.00 90.00
Space group Pm-3m (No. 221)
Inequivalent atoms, fractional coordinates:
Re: 0.000 0.000 0.000 [1 per cell]
Au: 0.000 0.000 0.500 [3 per cell]
C: 0.500 0.500 0.500 [1 per cell]

=====

Record 10
Entry from Alexandria via LeMat-Bulk: TbSmDyCu after structural relaxation (PBE).

## Properties
ΔH_f (0 K), eV/f.u.: -0.39

a b c (Å): 3.524 3.524 8.670
angles (deg): 90.00 90.00 90.00
Space group P4mm (No. 99)
Inequivalent atoms, fractional coordinates:
Tb: 0.000 0.000 0.000 [1 per cell]
Sm: 0.500 0.500 0.306 [1 per cell]
Dy: 0.000 0.000 0.611 [1 per cell]
Cu: 0.500 0.500 0.803 [1 per cell]

=====

Record 11
Entry from Alexandria via LeMat-Bulk: Ag5HgAu after structural relaxation (PBE).

## Properties
ΔH_f (0 K), eV/f.u.: 3.75
Energy above the lowest structure with this stoichiometry, eV/atom: 0.473

a b c (Å): 8.118 9.157 5.355
angles (deg): 90.00 90.00 90.00
Space group Imm2 (No. 44)
Inequivalent atoms, fractional coordinates:
Ag: 0.000 0.000 0.000 [2 per cell]
Ag: 0.000 0.266 0.768 [4 per cell]
Ag: 0.167 0.500 0.994 [4 per cell]
Hg: 0.000 0.000 0.490 [2 per cell]
Au: 0.000 0.500 0.453 [2 per cell]

=====

Record 12
Entry from Alexandria via LeMat-Bulk: HfCoSe3 after structural relaxation (PBE).

## Properties
Energy above the lowest structure with this stoichiometry, eV/atom: 0.923
ΔE_f (raw), meV per atom: 172

a b c (Å): 5.151 5.151 5.151
angles (deg): 90.00 90.00 90.00
Space group Pm-3m (No. 221)
Inequivalent atoms, fractional coordinates:
Hf: 0.000 0.000 0.000 [1 per cell]
Co: 0.500 0.500 0.500 [1 per cell]
Se: 0.000 0.000 0.500 [3 per cell]

=====

Record 13
Entry from Alexandria via LeMat-Bulk: CePuIr after structural relaxation (PBE).

## Properties
ΔH_f (0 K), eV/f.u.: -1.26
Energy above the lowest structure with this stoichiometry, eV/atom: 0.064

a b c (Å): 3.553 3.553 10.088
angles (deg): 90.00 90.00 90.00
Space group I4mm (No. 107)
Inequivalent atoms, fractional coordinates:
Ce: 0.000 0.000 0.000 [2 per cell]
Pu: 0.000 0.000 0.319 [2 per cell]
Ir: 0.000 0.000 0.662 [2 per cell]

=====

Record 14
Entry from Alexandria via LeMat-Bulk: YCoAg3 after structural relaxation (PBE).

## Properties
ΔH_f (0 K), eV/f.u.: 2.19
Energy above the lowest structure with this stoichiometry, eV/atom: 0.000

a b c (Å): 4.806 4.806 4.806
angles (deg): 90.00 90.00 90.00
Space group Pm-3m (No. 221)
Inequivalent atoms, fractional coordinates:
Y: 0.000 0.000 0.000 [1 per cell]
Co: 0.500 0.500 0.500 [1 per cell]
Ag: 0.000 0.500 0.500 [3 per cell]

=====

Record 15
Entry from Alexandria via LeMat-Bulk: Sr5Sb2O2 after structural relaxation (PBE).

## Properties
Energy above the lowest structure with this stoichiometry, eV/atom: 0.000
ΔE_f (raw), meV per atom: -1795

a b c (Å): 21.279 7.186 7.090
angles (deg): 90.00 90.00 90.00
Space group Ima2 (No. 46)
Inequivalent atoms, fractional coordinates:
Sr: 0.003 0.249 0.000 [8 per cell]
Sr: 0.142 0.525 0.760 [8 per cell]
Sr: 0.250 0.128 0.873 [4 per cell]
Sb: 0.111 0.505 0.246 [8 per cell]
O: 0.000 0.000 0.251 [4 per cell]
O: 0.250 0.077 0.212 [4 per cell]

=====

Record 16
Entry from Alexandria via LeMat-Bulk: Sr2MnNbOs after structural relaxation (PBE).

## Properties
ΔH_f (0 K), eV/f.u.: 9.14

a b c (Å): 6.072 6.072 4.349
angles (deg): 90.00 90.00 90.00
Space group P4/mmm (No. 123)
Inequivalent atoms, fractional coordinates:
Sr: 0.000 0.500 0.000 [2 per cell]
Mn: 0.000 0.000 0.500 [1 per cell]
Nb: 0.000 0.000 0.000 [1 per cell]
Os: 0.500 0.500 0.500 [1 per cell]

=====

Record 17
Entry from Alexandria via LeMat-Bulk: ZnCr2Ru after structural relaxation (PBE).

## Properties
ΔH_f (0 K), eV/f.u.: 0.67

a b c (Å): 2.627 3.864 5.077
angles (deg): 90.00 90.26 90.00
Space group P2/m (No. 10)
Inequivalent atoms, fractional coordinates:
Zn: 0.000 0.000 0.000 [1 per cell]
Cr: 0.498 0.500 0.736 [2 per cell]
Ru: 0.000 0.000 0.500 [1 per cell]

=====

Record 18
Entry from Alexandria via LeMat-Bulk: NdHoTlAu after structural relaxation (PBE).

## Properties
ΔH_f (0 K), eV/f.u.: -2.14
Energy above the lowest structure with this stoichiometry, eV/atom: 0.066

a b c (Å): 7.520 7.520 7.520
angles (deg): 90.00 90.00 90.00
Space group F-43m (No. 216)
Inequivalent atoms, fractional coordinates:
Nd: 0.000 0.000 0.000 [4 per cell]
Ho: 0.000 0.000 0.500 [4 per cell]
Tl: 0.250 0.250 0.750 [4 per cell]
Au: 0.250 0.250 0.250 [4 per cell]

=====

Record 19
Entry from Alexandria via LeMat-Bulk: AcPrSm4Se8 after structural relaxation (PBE).

## Properties
ΔE_f (raw), meV per atom: -1737

a b c (Å): 8.7019 8.7019 21.4549
angles (deg): 90.00 90.00 120.00
Space group R3m (No. 160, hexagonal axes)
Inequivalent atoms, fractional coordinates:
Ac: 0.0000 0.0000 0.0000 [3 per cell]
Pr: 0.0000 0.0000 0.3768 [3 per cell]
Sm: 0.0000 0.0000 0.7485 [3 per cell]
Sm: 0.1698 0.3395 0.2068 [9 per cell]
Se: 0.0000 0.0000 0.1379 [3 per cell]
Se: 0.0000 0.0000 0.6172 [3 per cell]
Se: 0.0131 0.5066 0.1283 [9 per cell]
Se: 0.1828 0.3656 0.9516 [9 per cell]

=====

Record 20
Entry from Alexandria via LeMat-Bulk: Y6InAs2Se3 after structural relaxation (PBE).

## Properties
ΔE_f (raw), meV per atom: -1485

a b c (Å): 18.169 4.104 8.421
angles (deg): 90.00 103.34 90.00
Space group C2/m (No. 12)
Inequivalent atoms, fractional coordinates:
Y: 0.002 0.000 0.261 [4 per cell]
Y: 0.169 0.500 0.093 [4 per cell]
Y: 0.171 0.500 0.576 [4 per cell]
In: 0.000 0.500 0.000 [2 per cell]
As: 0.167 0.000 0.335 [4 per cell]
Se: 0.000 0.500 0.500 [2 per cell]
Se: 0.167 0.000 0.831 [4 per cell]

=====

Record 21
Entry from Alexandria via LeMat-Bulk: NpUMnOs after structural relaxation (PBE).

## Properties
ΔH_f (0 K), eV/f.u.: -0.19

a b c (Å): 6.459 6.459 6.459
angles (deg): 90.00 90.00 90.00
Space group F-43m (No. 216)
Inequivalent atoms, fractional coordinates:
Np: 0.000 0.000 0.000 [4 per cell]
U: 0.250 0.250 0.250 [4 per cell]
Mn: 0.250 0.250 0.750 [4 per cell]
Os: 0.000 0.000 0.500 [4 per cell]